Entry 1:
Computed, not measured: LiTmSn3 after structural relaxation at the PBE level of DFT. Values from VASP.

```
&SYSTEM
  ibrav = 0, nat = 10, ntyp = 3
/
ATOMIC_SPECIES
Tm 168.93 Tm.upf
Sn 118.71 Sn.upf
Li 6.94 Li.upf
CELL_PARAMETERS angstrom
4.614 0.000 0.000
-2.307 8.366 0.369
0.000 -0.423 6.183
ATOMIC_POSITIONS angstrom
Tm 0.000 6.403 3.466
Tm 2.307 1.540 3.086
Sn 2.307 8.075 1.876
Li 0.000 3.000 4.948
Sn 0.000 3.367 1.975
Sn 0.000 -0.133 4.675
Li 2.307 4.943 1.604
Sn 2.307 1.709 6.221
Sn 0.000 6.234 0.331
Sn 2.307 4.577 4.577
```

The value obtained for the energy of formation is -0.3698 eV/atom. As for the energy above the lowest structure with this stoichiometry: 0.06 eV/f.u. The value obtained for the density is 7.38 g/cm³.

***

Entry 2:
Computed, not measured: SrBiH8Rh2 after structural relaxation at the PBE level of DFT. Values from VASP.

```
&SYSTEM
  ibrav = 0, nat = 12, ntyp = 4
/
ATOMIC_SPECIES
Rh 102.91 Rh.upf
H 1.01 H.upf
Sr 87.62 Sr.upf
Bi 208.98 Bi.upf
CELL_PARAMETERS angstrom
-3.136 -0.509 4.135
-4.660 -2.279 -0.527
-0.206 -6.095 2.382
ATOMIC_POSITIONS angstrom
Rh -2.388 -1.384 1.306
H -3.728 -2.207 2.073
H -5.092 -2.436 3.836
Rh -5.614 -7.499 4.684
H -4.274 -6.676 3.917
H -5.726 -3.190 1.823
H -2.910 -6.446 2.155
H -1.688 -2.895 1.652
H -6.314 -5.987 4.339
Sr -4.001 -4.441 2.995
H -2.276 -5.693 4.167
Bi 0.000 0.000 0.000
```

The value obtained for the electronic total energy is -4.003 eV per atom. The value obtained for the density is 6.19 g/cm³.